FeIr2: relaxed, PBE-GGA.

Summary:
For the formation energy, the calculation gives 0.3299 eV per atom. As for the density of states at the Fermi level: 0.9516 states/eV/atom. For the volume, the calculation gives 15.27 A^3/atom. The value obtained for the total magnetization is 2.32 μB per formula unit.

a = 5.6804 Å, b = 5.6804 Å, c = 5.6804 Å
α = 90.00°, β = 90.00°, γ = 90.00°
With the nearest neighbours (Å) after each atom.
Space group Fm-3m (No. 225)
Inequivalent atoms, fractional coordinates:
Fe1 0.0000 0.0000 0.0000  8 Ir 2.46
Ir1 0.2500 0.2500 0.2500  4 Fe 2.46